Record 1
# HfSi2Sn

Crystalline HfSi2Sn at its relaxed geometry (GGA-PBE, Alexandria).

Output
The calculation puts the calculated volume at 28.38 A^3/atom. As for the formation energy without anion corrections: 424 meV/atom. The value obtained for the total DFT energy (no corrections) is -5.78 eV per atom. The value obtained for the size of the total moment is 0.00 μB per cell. As for the space group: I-42d (122). The calculation puts the density at 5.17 Mg/m³.

Structure (POSCAR):
```
HfSi2Sn
1.0
-3.0742 3.0742 6.0051
3.0742 -3.0742 6.0051
3.0742 3.0742 -6.0051
Hf Si Sn
2 4 2
direct
0.0000 0.0000 0.0000 Hf
0.7500 0.2500 0.5000 Hf
0.1261 0.6250 0.0011 Si
0.3750 0.3761 0.5011 Si
0.6239 0.1250 0.9989 Si
0.8750 0.8739 0.4989 Si
0.2500 0.7500 0.5000 Sn
0.5000 0.5000 0.0000 Sn
```



Record 2
# Tl2SnHgSb

Crystalline Tl2SnHgSb at its relaxed geometry (GGA-PBE, Alexandria).

Output
The calculation puts the calculated volume at 31.69 A^3/atom. As for the formation energy without anion corrections: 27 meV/atom. The value obtained for the total DFT energy (no corrections) is -2.60 eV per atom. The value obtained for the size of the total moment is 0.00 μB per cell. As for the space group: P2_1/m (11). The calculation puts the density at 8.91 Mg/m³.

Structure (POSCAR):
```
Tl2SnHgSb
1.0
7.2007 0.0000 0.0000
0.0000 4.3357 0.0000
-0.1960 0.0000 10.1512
Tl Sn Hg Sb
4 2 2 2
direct
0.2029 0.2500 0.0243 Tl
0.2876 0.2500 0.4493 Tl
0.7124 0.7500 0.5507 Tl
0.7971 0.7500 0.9757 Tl
0.0387 0.7500 0.2587 Sn
0.9613 0.2500 0.7413 Sn
0.4734 0.7500 0.1851 Hg
0.5266 0.2500 0.8149 Hg
0.2322 0.7500 0.7011 Sb
0.7678 0.2500 0.2989 Sb
```



Record 3
# Ni3Br

Crystalline Ni3Br at its relaxed geometry (GGA-PBE, Alexandria).

Output
The calculation puts the calculated volume at 19.88 A^3/atom. As for the formation energy without anion corrections: 301 meV/atom. The value obtained for the total DFT energy (no corrections) is -4.45 eV per atom. The value obtained for the size of the total moment is 5.25 μB per cell. The calculation puts the energy above the most stable polymorph in this dataset at 0.000 eV per atom. As for the space group: Pmmn (59). The calculation puts the density at 5.35 Mg/m³.

Structure (POSCAR):
```
Ni3Br
1.0
3.9757 0.0000 0.0000
0.0000 4.7744 0.0000
0.0000 0.0000 8.3774
Ni Br
6 2
direct
0.2500 0.0046 0.0744 Ni
0.2500 0.2500 0.8229 Ni
0.2500 0.4954 0.0744 Ni
0.7500 0.5046 0.9256 Ni
0.7500 0.7500 0.1771 Ni
0.7500 0.9954 0.9256 Ni
0.2500 0.7500 0.3493 Br
0.7500 0.2500 0.6507 Br
```



Record 4
# Cd2W3

Crystalline Cd2W3 at its relaxed geometry (GGA-PBE, Alexandria).

Output
The calculation puts the calculated volume at 18.54 A^3/atom. The value obtained for the total DFT energy (no corrections) is -7.44 eV per atom. The value obtained for the size of the total moment is 0.00 μB per cell. The calculation puts the energy above the most stable polymorph in this dataset at 0.000 eV per atom. As for the space group: R-3m (166). The calculation puts the density at 13.91 Mg/m³.

Structure (POSCAR):
```
Cd2W3
1.0
1.5004 0.8663 11.8841
-1.5004 0.8663 11.8841
0.0000 -1.7326 11.8841
Cd W
2 3
direct
0.0986 0.0986 0.0986 Cd
0.9014 0.9014 0.9014 Cd
0.3076 0.3076 0.3076 W
0.5000 0.5000 0.5000 W
0.6924 0.6924 0.6924 W
```



Record 5
# AlTlCd

Crystalline AlTlCd at its relaxed geometry (GGA-PBE, Alexandria).

Output
The calculation puts the calculated volume at 25.28 A^3/atom. The value obtained for the total DFT energy (no corrections) is -2.17 eV per atom. The value obtained for the size of the total moment is 0.00 μB per cell. As for the space group: P1 (1). The calculation puts the density at 7.53 Mg/m³.

Structure (POSCAR):
```
AlTlCd
1.0
4.2346 0.0000 0.0000
2.1050 4.5662 0.0000
2.1150 0.6998 7.8439
Al Tl Cd
2 2 2
direct
0.0000 0.0000 0.0000 Al
0.3450 0.3948 0.9138 Al
0.0771 0.2674 0.5793 Tl
0.6243 0.5512 0.1960 Tl
0.7036 0.8145 0.7771 Cd
0.8512 0.9136 0.3810 Cd
```



Record 6
# SrCd3Ge2

Crystalline SrCd3Ge2 at its relaxed geometry (GGA-PBE, Alexandria).

Output
The calculation puts the calculated volume at 24.50 A^3/atom. The value obtained for the total DFT energy (no corrections) is -2.49 eV per atom. The value obtained for the size of the total moment is 0.00 μB per cell. The calculation puts the energy above the most stable polymorph in this dataset at 0.002 eV per atom. As for the space group: C2/m (12). The calculation puts the density at 6.44 Mg/m³.

Structure (POSCAR):
```
SrCd3Ge2
1.0
9.0719 -2.2464 0.0000
9.0719 2.2464 0.0000
-2.6150 0.0000 10.8186
Sr Cd Ge
3 9 6
direct
0.0000 0.0000 0.0000 Sr
0.1594 0.1594 0.7066 Sr
0.8406 0.8406 0.2934 Sr
0.0345 0.0345 0.3523 Cd
0.2074 0.2074 0.3752 Cd
0.3369 0.3369 0.0411 Cd
0.3754 0.3754 0.7932 Cd
0.5000 0.5000 0.5000 Cd
0.6246 0.6246 0.2068 Cd
0.6631 0.6631 0.9589 Cd
0.7926 0.7926 0.6248 Cd
0.9655 0.9655 0.6477 Cd
0.2018 0.2018 0.1175 Ge
0.3510 0.3510 0.5242 Ge
0.4723 0.4723 0.2131 Ge
0.5277 0.5277 0.7869 Ge
0.6490 0.6490 0.4758 Ge
0.7982 0.7982 0.8825 Ge
```



Record 7
# KB3P

Crystalline KB3P at its relaxed geometry (GGA-PBE, Alexandria).

Output
The calculation puts the calculated volume at 13.60 A^3/atom. The value obtained for the total DFT energy (no corrections) is -3.76 eV per atom. The value obtained for the size of the total moment is 0.00 μB per cell. The calculation puts the energy above the most stable polymorph in this dataset at 0.000 eV per atom. As for the space group: Pm-3m (221). The calculation puts the density at 2.50 Mg/m³.

Structure (POSCAR):
```
KB3P
1.0
4.0816 0.0000 0.0000
0.0000 4.0816 0.0000
0.0000 0.0000 4.0816
K B P
1 3 1
direct
0.0000 0.0000 0.0000 K
0.0000 0.5000 0.5000 B
0.5000 0.0000 0.5000 B
0.5000 0.5000 0.0000 B
0.5000 0.5000 0.5000 P
```